Density functional theory data (PBE-GGA) for a geometry-optimized Sc3HgO structure.

It has space group I-4m2 (No. 119), with a = 4.656 Å, b = 4.656 Å, c = 23.069 Å, α = 90.00°, β = 90.00° and γ = 90.00°. The inequivalent atoms are Sc at (0.000, 0.000, 0.186), Sc at (0.000, 0.236, 0.622), Hg at (0.000, 0.000, 0.500), Hg at (0.000, 0.500, 0.750) and O at (0.000, 0.500, 0.148).

The crystal system is tetragonal. The calculation puts the volume at 25.0 Å³/atom. Its total energy is -97.94 eV for the cell shown. For the energy relative to the elements, uncorrected, the calculation gives -46 meV/atom. The polymorph energy (0 for the lowest one) is 1446.7 meV/atom.

---

Density functional theory data (PBE-GGA) for a geometry-optimized TlTcHgBr6 structure.

It has space group P-31c (No. 163), with a = 7.6663 Å, b = 7.6663 Å, c = 11.9440 Å, α = 90.00°, β = 90.00° and γ = 120.00°. The inequivalent atoms are Tl at (0.3333, 0.6667, 0.2500), Tc at (0.3333, 0.6667, 0.7500), Hg at (0.0000, 0.0000, 0.0000) and Br at (0.0673, 0.3952, 0.6256).

The crystal system is trigonal. The calculation puts the volume at 33.8 Å³/atom. Its total energy is -53.67 eV for the cell shown. For the energy relative to the elements, uncorrected, the calculation gives -418 meV/atom.

---

Density functional theory data (PBE-GGA) for a geometry-optimized Sc5As2P2 structure.

It has space group Cmce (No. 64), with a = 13.395 Å, b = 7.094 Å, c = 7.141 Å, α = 90.00°, β = 90.00° and γ = 90.00°. The inequivalent atoms are Sc at (0.000, 0.000, 0.000), Sc at (0.132, 0.160, 0.341), As at (0.201, 0.000, 0.000) and P at (0.000, 0.144, 0.643).

The calculation puts the energy of formation from the pure elements at -124.6 kJ/mol of atoms. The crystal system is orthorhombic. The calculation puts the volume at 18.8 Å³/atom. Its total energy is -253.58 eV for the cell shown.

---

Density functional theory data (PBE-GGA) for a geometry-optimized CdCu2Au structure.

It has space group P4mm (No. 99), with a = 3.128 Å, b = 3.128 Å, c = 6.436 Å, α = 90.00°, β = 90.00° and γ = 90.00°. The inequivalent atoms are Cd at (0.000, 0.000, 0.000), Cu at (0.000, 0.000, 0.452), Cu at (0.500, 0.500, 0.263) and Au at (0.500, 0.500, 0.694).

The calculation puts the energy of formation from the pure elements at -2.3 kJ/mol of atoms. The crystal system is tetragonal. The calculation puts the volume at 15.7 Å³/atom. Its total energy is -12.48 eV for the cell shown.

---

Density functional theory data (PBE-GGA) for a geometry-optimized Dy4PuCo5 structure.

It has space group I4mm (No. 107), with a = 9.069 Å, b = 9.069 Å, c = 4.700 Å, α = 90.00°, β = 90.00° and γ = 90.00°. The inequivalent atoms are Dy at (0.000, 0.288, 0.000), Pu at (0.000, 0.000, 0.611), Co at (0.000, 0.000, 0.121) and Co at (0.184, 0.184, 0.482).

The calculation puts the energy of formation from the pure elements at -0.5 kJ/mol of atoms. The crystal system is tetragonal. The calculation puts the volume at 19.3 Å³/atom. Its total energy is -136.64 eV for the cell shown.

---

Density functional theory data (PBE-GGA) for a geometry-optimized La2PuO6 structure.

It has space group P4_2/mnm (No. 136), with a = 5.249 Å, b = 5.249 Å, c = 10.980 Å, α = 90.00°, β = 90.00° and γ = 90.00°. The inequivalent atoms are La at (0.000, 0.000, 0.168), Pu at (0.000, 0.000, 0.500), O at (0.180, 0.180, 0.351) and O at (0.224, 0.224, 0.000).

The crystal system is tetragonal. The calculation puts the volume at 16.8 Å³/atom. Its total energy is -163.33 eV for the cell shown. For the energy relative to the elements, uncorrected, the calculation gives -3081 meV/atom. The polymorph energy (0 for the lowest one) is 28.1 meV/atom.

---

Density functional theory data (PBE-GGA) for a geometry-optimized PrS8Br2 structure.

It has space group C2/m (No. 12), with a = 9.152 Å, b = 10.742 Å, c = 8.697 Å, α = 90.00°, β = 119.64° and γ = 90.00°. The inequivalent atoms are Pr at (0.000, 0.000, 0.000), S at (0.075, 0.500, 0.144), S at (0.091, 0.500, 0.775), S at (0.245, 0.214, 0.102) and Br at (0.131, 0.000, 0.367).

The crystal system is monoclinic. The calculation puts the volume at 33.8 Å³/atom. Its total energy is -89.53 eV for the cell shown. For the energy relative to the elements, uncorrected, the calculation gives -329 meV/atom.

---

Density functional theory data (PBE-GGA) for a geometry-optimized Be4GaOs structure.

It has space group F-43m (No. 216), with a = 6.161 Å, b = 6.161 Å, c = 6.161 Å, α = 90.00°, β = 90.00° and γ = 90.00°. The inequivalent atoms are Be at (0.123, 0.123, 0.377), Ga at (0.000, 0.000, 0.000) and Os at (0.250, 0.250, 0.750).

The calculation puts the energy of formation from the pure elements at -21.1 kJ/mol of atoms. The crystal system is cubic. The calculation puts the volume at 9.7 Å³/atom. Its total energy is -121.90 eV for the cell shown.